# SCAN SiTc2Pb, single point on PBEsol structure
data_SiTc2Pb
_cell_length_a 3.117
_cell_length_b 5.021
_cell_length_c 8.282
_cell_angle_alpha 90.00
_cell_angle_beta 90.00
_cell_angle_gamma 90.00
_symmetry_space_group_name_H-M 'P 1'
_symmetry_Int_Tables_number 1
loop_
_symmetry_equiv_pos_as_xyz
'x,y,z'
loop_
_atom_site_label
_atom_site_type_symbol
_atom_site_fract_x
_atom_site_fract_y
_atom_site_fract_z
Si1 Si 0.000 0.000 0.000
Si2 Si 0.500 0.500 0.500
Tc1 Tc 0.000 0.500 0.283
Tc2 Tc 0.000 0.500 0.717
Tc3 Tc 0.500 0.000 0.217
Tc4 Tc 0.500 0.000 0.783
Pb1 Pb 0.000 0.000 0.500
Pb2 Pb 0.500 0.500 0.000
# - total magnetization (μB per cell) = 0.001
# - Fermi-level density of states (states/eV/cell) = 6.7
# - SG = Immm, No. 71
# - energy above the lowest structure with this stoichiometry (eV/atom) = 0.162
# - crystal system = orthorhombic